# PBE Ho2Zr2Se7, optimized geometry
data_Ho2Zr2Se7
_chemical_formula_sum 'Ho4 Zr4 Se14'
_cell_length_a 3.9235
_cell_length_b 14.4532
_cell_length_c 8.8164
_cell_angle_alpha 90.00
_cell_angle_beta 90.00
_cell_angle_gamma 90.00
_symmetry_space_group_name_H-M 'I m m 2'
_symmetry_Int_Tables_number 44
loop_
_symmetry_equiv_pos_as_xyz
'x,y,z'
'-x,-y,z'
'-x,y,z'
'x,-y,z'
'x+1/2,y+1/2,z+1/2'
'-x+1/2,-y+1/2,z+1/2'
'-x+1/2,y+1/2,z+1/2'
'x+1/2,-y+1/2,z+1/2'
loop_
_atom_site_label
_atom_site_type_symbol
_atom_site_fract_x
_atom_site_fract_y
_atom_site_fract_z
Ho1 Ho 0.0000 0.2294 0.0000
Zr1 Zr 0.0000 0.0000 0.7534
Zr2 Zr 0.0000 0.5000 0.8090
Se1 Se 0.0000 0.0000 0.0781
Se2 Se 0.0000 0.1042 0.4842
Se3 Se 0.0000 0.3193 0.7082
Se4 Se 0.0000 0.3679 0.2948
# Energy relative to the elements, uncorrected (kJ/mol of atoms): -142
# E (eV/atom): -6.076
# Density (g/cm³): 7.07

---

# PBE BeSbN2F, optimized geometry
data_BeSbN2F
_chemical_formula_sum 'Be1 Sb1 N2 F1'
_cell_length_a 3.7822
_cell_length_b 3.7822
_cell_length_c 3.3866
_cell_angle_alpha 90.00
_cell_angle_beta 90.00
_cell_angle_gamma 90.00
_symmetry_space_group_name_H-M 'P 4/m m m'
_symmetry_Int_Tables_number 123
_symmetry_space_group_name_Hall '-P 4 2'
loop_
_atom_site_label
_atom_site_type_symbol
_atom_site_fract_x
_atom_site_fract_y
_atom_site_fract_z
Be1 Be 0.0000 0.0000 0.0000
Sb1 Sb 0.5000 0.5000 0.5000
N1 N 0.0000 0.5000 0.0000
F1 F 0.0000 0.0000 0.5000
# Energy relative to the elements, uncorrected (kJ/mol of atoms): 4
# Excess energy over the best structure of this formula in the dataset (eV/f.u.): 0.000
# E (eV/atom): -5.229
# Density (g/cm³): 6.09

---

What is the formula in the second record?
BeSbN2F